[1]
The following is a DFT calculation (PBE-GGA) of a geometry-optimized LaNi6Ge2 structure.

raw total energy	-5.73	eV/atom

Cell lengths 4.1387, 4.1387, 7.6862 Å; angles 90.00, 90.00, 90.00 degrees
Space group P4/mmm (No. 123)
Symmetry-distinct sites (fractional):
La 0.0000 0.0000 0.0000
Ni 0.0000 0.0000 0.5000
Ni 0.0000 0.5000 0.3259
Ni 0.5000 0.5000 0.5000
Ge 0.5000 0.5000 0.1752

***

[2]
The following is a DFT calculation (PBE-GGA) of a geometry-optimized Ac6PPd2I3 structure.

raw total energy	-4.79	eV/atom
energy relative to the elements, uncorrected	-1.034	eV per atom

Cell lengths 7.8075, 13.5106, 8.7343 Å; angles 90.00, 107.31, 90.00 degrees
Space group C2/m (No. 12)
Symmetry-distinct sites (fractional):
Ac 0.2285 0.0000 0.1932
Ac 0.2331 0.3323 0.1936
P 0.0000 0.5000 0.0000
Pd 0.0000 0.1671 0.0000
I 0.0000 0.0000 0.5000
I 0.0000 0.3366 0.5000

***

[3]
The following is a DFT calculation (PBE-GGA) of a geometry-optimized PSe3 structure.

excess energy over the best structure of this formula in the dataset	0.3216	eV/atom
raw total energy	-3.42	eV/atom
energy relative to the elements, uncorrected	0.549	eV per atom

Cell lengths 3.3926, 4.7750, 10.1838 Å; angles 90.00, 90.00, 90.00 degrees
Space group Cmmm (No. 65)
Symmetry-distinct sites (fractional):
P 0.0000 0.0000 0.0000
Se 0.0000 0.0000 0.5000
Se 0.0000 0.5000 0.1922

***

[4]
The following is a DFT calculation (PBE-GGA) of a geometry-optimized Pm3Ga4Pt7 structure.

raw total energy	-5.89	eV/atom

Cell lengths 16.2155, 4.2611, 9.3609 Å; angles 90.00, 124.91, 90.00 degrees
Space group C2/m (No. 12)
Symmetry-distinct sites (fractional):
Pm 0.0000 0.0000 0.0000
Pm 0.1724 0.5000 0.6613
Ga 0.1256 0.0000 0.8511
Ga 0.1790 0.5000 0.3189
Pt 0.0000 0.0000 0.5000
Pt 0.0088 0.5000 0.7390
Pt 0.1297 0.0000 0.3940
Pt 0.1938 0.5000 0.0633

***

[5]
The following is a DFT calculation (PBE-GGA) of a geometry-optimized Tm4TlSbC structure.

raw total energy	-5.41	eV/atom
energy relative to the elements, uncorrected	-0.607	eV per atom

Cell lengths 4.7304, 4.7304, 15.6222 Å; angles 90.00, 90.00, 90.00 degrees
Space group I4mm (No. 107)
Symmetry-distinct sites (fractional):
Tm 0.0000 0.0000 0.0000
Tm 0.0000 0.0000 0.3179
Tm 0.0000 0.5000 0.1564
Tl 0.0000 0.0000 0.5168
Sb 0.0000 0.0000 0.7989
C 0.0000 0.0000 0.1633

***

[6]
The following is a DFT calculation (PBE-GGA) of a geometry-optimized Zn4PdAu structure.

excess energy over the best structure of this formula in the dataset	0.0000	eV/atom
raw total energy	-2.53	eV/atom

Cell lengths 9.3304, 3.2072, 6.4750 Å; angles 90.00, 110.36, 90.00 degrees
Space group C2/m (No. 12)
Symmetry-distinct sites (fractional):
Zn 0.1664 0.0000 0.3429
Zn 0.1682 0.0000 0.8233
Pd 0.0000 0.5000 0.5000
Au 0.0000 0.5000 0.0000

***

[7]
The following is a DFT calculation (PBE-GGA) of a geometry-optimized YAl2Ni structure.

raw total energy	-5.56	eV/atom

Cell lengths 15.1260, 6.8542, 5.5200 Å; angles 90.00, 90.00, 90.00 degrees
Space group Pnma (No. 62)
Symmetry-distinct sites (fractional):
Y 0.1052 0.2500 0.2296
Y 0.1384 0.7500 0.0237
Al 0.0414 0.0570 0.7180
Al 0.2115 0.5548 0.5263
Ni 0.0717 0.7500 0.5090
Ni 0.1822 0.2500 0.7587

***

[8]
The following is a DFT calculation (PBE-GGA) of a geometry-optimized SrTh4Au5 structure.

raw total energy	-5.36	eV/atom

Cell lengths 3.7313, 3.7313, 18.9269 Å; angles 90.00, 90.00, 90.00 degrees
Space group P4/mmm (No. 123)
Symmetry-distinct sites (fractional):
Sr 0.0000 0.0000 0.0000
Th 0.0000 0.0000 0.2062
Th 0.0000 0.0000 0.4032
Au 0.5000 0.5000 0.1136
Au 0.5000 0.5000 0.3039
Au 0.5000 0.5000 0.5000

***

[9]
The following is a DFT calculation (PBE-GGA) of a geometry-optimized Mn2Co3Si structure.

raw total energy	-7.77	eV/atom
energy relative to the elements, uncorrected	-0.260	eV per atom

Cell lengths 3.9975, 12.0648, 5.6581 Å; angles 90.00, 90.00, 90.00 degrees
Space group Cmmm (No. 65)
Symmetry-distinct sites (fractional):
Mn 0.0000 0.0000 0.0000
Mn 0.0000 0.0000 0.5000
Mn 0.0000 0.3335 0.0000
Co 0.0000 0.1703 0.2615
Co 0.0000 0.5000 0.2534
Si 0.0000 0.3394 0.5000

***

[10]
The following is a DFT calculation (PBE-GGA) of a geometry-optimized Zn2Ni7Ir2 structure.

excess energy over the best structure of this formula in the dataset	0.3422	eV/atom
raw total energy	-5.10	eV/atom

Cell lengths 6.7305, 8.2648, 5.6064 Å; angles 90.00, 90.00, 90.00 degrees
Space group Cmmm (No. 65)
Symmetry-distinct sites (fractional):
Zn 0.0000 0.2100 0.0000
Ni 0.0000 0.0000 0.2873
Ni 0.0000 0.5000 0.0000
Ni 0.2500 0.2500 0.2869
Ir 0.1740 0.5000 0.5000

***

[11]
The following is a DFT calculation (PBE-GGA) of a geometry-optimized Sr2AsPd structure.

raw total energy	-3.80	eV/atom

Cell lengths 8.2009, 8.2009, 7.0334 Å; angles 90.00, 90.00, 90.00 degrees
Space group I-42d (No. 122)
Symmetry-distinct sites (fractional):
Sr 0.2448 0.2500 0.1250
As 0.0000 0.0000 0.5000
Pd 0.0000 0.0000 0.0000

***

[12]
The following is a DFT calculation (PBE-GGA) of a geometry-optimized MgBC structure.

excess energy over the best structure of this formula in the dataset	0.0122	eV/atom
raw total energy	-5.80	eV/atom

Cell lengths 2.8136, 12.5282, 4.7142 Å; angles 90.00, 90.00, 90.00 degrees
Space group Cmm2 (No. 35)
Symmetry-distinct sites (fractional):
Mg 0.0000 0.1460 0.0000
B 0.0000 0.0000 0.6481
B 0.0000 0.5000 0.1651
C 0.0000 0.0000 0.3207
C 0.0000 0.5000 0.8211

***

[13]
The following is a DFT calculation (PBE-GGA) of a geometry-optimized Zn2GeI structure.

excess energy over the best structure of this formula in the dataset	0.4648	eV/atom
raw total energy	-1.66	eV/atom
energy relative to the elements, uncorrected	0.522	eV per atom

Cell lengths 7.1023, 7.1023, 7.1023 Å; angles 90.00, 90.00, 90.00 degrees
Space group Fm-3m (No. 225)
Symmetry-distinct sites (fractional):
Zn 0.2500 0.2500 0.2500
Ge 0.0000 0.0000 0.0000
I 0.0000 0.0000 0.5000

***

[14]
The following is a DFT calculation (PBE-GGA) of a geometry-optimized MnCr2SnN structure.

raw total energy	-8.33	eV/atom
energy relative to the elements, uncorrected	-0.181	eV per atom

Cell lengths 3.9737, 3.9737, 3.9676 Å; angles 90.00, 90.00, 90.00 degrees
Space group P4/mmm (No. 123)
Symmetry-distinct sites (fractional):
Mn 0.0000 0.0000 0.0000
Cr 0.0000 0.5000 0.5000
Sn 0.5000 0.5000 0.0000
N 0.0000 0.0000 0.5000

***

[15]
The following is a DFT calculation (PBE-GGA) of a geometry-optimized Y2InW structure.

raw total energy	-7.01	eV/atom

Cell lengths 3.3528, 3.7956, 7.6728 Å; angles 90.00, 90.00, 90.00 degrees
Space group Pmmm (No. 47)
Symmetry-distinct sites (fractional):
Y 0.0000 0.0000 0.2269
In 0.5000 0.5000 0.5000
W 0.5000 0.5000 0.0000

***

[16]
The following is a DFT calculation (PBE-GGA) of a geometry-optimized La4PSe2O structure.

raw total energy	-6.68	eV/atom
energy relative to the elements, uncorrected	-2.050	eV per atom

Cell lengths 7.0762, 4.1200, 7.3562 Å; angles 90.00, 108.87, 90.00 degrees
Space group P2/m (No. 10)
Symmetry-distinct sites (fractional):
La 0.2255 0.0000 0.2137
La 0.2429 0.5000 0.7794
P 0.5000 0.0000 0.0000
Se 0.0000 0.0000 0.5000
Se 0.5000 0.5000 0.5000
O 0.0000 0.5000 0.0000

***

[17]
The following is a DFT calculation (PBE-GGA) of a geometry-optimized PmPrIn2 structure.

raw total energy	-4.06	eV/atom

Cell lengths 3.8556, 3.8556, 29.4822 Å; angles 90.00, 90.00, 120.00 degrees
Space group R-3m (No. 166, hexagonal axes)
Symmetry-distinct sites (fractional):
Pm 0.0000 0.0000 0.0000
Pr 0.0000 0.0000 0.5000
In 0.0000 0.0000 0.2511

***

[18]
The following is a DFT calculation (PBE-GGA) of a geometry-optimized Sr5Ge3H structure.

raw total energy	-3.42	eV/atom

Cell lengths 8.1869, 8.1869, 15.6643 Å; angles 90.00, 90.00, 90.00 degrees
Space group I4/mcm (No. 140)
Symmetry-distinct sites (fractional):
Sr 0.0000 0.0000 0.0000
Sr 0.1684 0.3316 0.1494
Ge 0.0000 0.0000 0.2500
Ge 0.1115 0.3885 0.5000
H 0.0000 0.5000 0.2500

***

[19]
The following is a DFT calculation (PBE-GGA) of a geometry-optimized SrTl2Hg6 structure.

raw total energy	-1.08	eV/atom

Cell lengths 15.7762, 9.1105, 3.5604 Å; angles 90.00, 90.03, 90.00 degrees
Space group C2/m (No. 12)
Symmetry-distinct sites (fractional):
Sr 0.0000 0.0000 0.0000
Tl 0.1667 0.5000 0.0000
Hg 0.0000 0.3355 0.5000
Hg 0.1677 0.1677 0.5015

***

[20]
The following is a DFT calculation (PBE-GGA) of a geometry-optimized Rb2TaTc structure.

excess energy over the best structure of this formula in the dataset	0.0000	eV/atom
raw total energy	-4.53	eV/atom

Cell lengths 13.3979, 13.3979, 4.5849 Å; angles 90.00, 90.00, 90.00 degrees
Space group I-42d (No. 122)
Symmetry-distinct sites (fractional):
Rb 0.0722 0.7500 0.1250
Ta 0.0000 0.0000 0.5000
Tc 0.0000 0.0000 0.0000

***

What did we get for Fermi-level density of states? Answer: 12.821 20.100 5.190 10.274 3.144 3.092 17.470 9.949 13.591 26.866 7.191 1.130 10.162 3.889 4.705 4.094 5.988 35.127 6.556 18.399 states/eV/cell, in the order shown.
What did we get for spin magnetization? Answer: 1.20 0.00 0.00 0.00 0.00 0.00 0.00 0.00 9.02 0.96 0.00 0.00 0.00 0.17 0.00 0.00 0.00 0.00 0.00 0.00 μB/f.u., in the order shown.